Arrangement P

VASP calculation (GGA-PBE) on V2Ga2Tc after structural relaxation.

a b c (Å): 6.1643 6.1643 4.0820
angles (deg): 90.00 90.00 90.00
With the nearest neighbours (Å) after each atom.
Space group P4/mbm (No. 127)
Asymmetric unit:
V (0.1378, 0.3622, 0.0000)  2 Tc 2.39, 1 V 2.40, 2 Ga 2.65
Ga (0.1675, 0.6675, 0.5000)  6 V 2.65-2.78, 1 Ga 2.92
Tc (0.0000, 0.0000, 0.0000)  4 V 2.39

=====

Arrangement Q

VASP calculation (GGA-PBE) on V2Ga2Tc after structural relaxation.

a b c (Å): 6.6253 6.6253 3.2522
angles (deg): 90.00 90.00 90.00
With the nearest neighbours (Å) after each atom.
Space group P4/mbm (No. 127)
Asymmetric unit:
V (0.1698, 0.3302, 0.0000)  6 Ga 2.47-2.59
Ga (0.1320, 0.6320, 0.5000)  6 V 2.47-2.59, 1 Ga 2.47, 2 Tc 2.59
Tc (0.0000, 0.0000, 0.5000)  4 Ga 2.59

=====

Arrangement R

VASP calculation (GGA-PBE) on V2Ga2Tc after structural relaxation.

a b c (Å): 3.3648 3.3648 13.5678
angles (deg): 90.00 90.00 90.00
With the nearest neighbours (Å) after each atom.
Space group I4/mmm (No. 139)
Asymmetric unit:
V (0.0000, 0.0000, 0.0943)  1 V 2.56, 4 Ga 2.70, 4 Tc 2.70
Ga (0.0000, 0.5000, 0.2500)  4 Ga 2.38
Tc (0.0000, 0.0000, 0.5000)  8 V 2.70

=====

arrangement Q takes first place; second place is 327 meV per atom up.